A relaxed structure of Tb3CoRh. Source: the Alexandria database, functional PBE-GGA.

Values from the calculation:
* offset from the most stable computed form: 71 meV/atom

a = 7.202 Å, b = 8.096 Å, c = 8.343 Å
α = 98.35°, β = 90.00°, γ = 90.00°
Sites, in units of the cell vectors:
Tb: 0.001 0.692 0.945
Tb: 0.499 0.192 0.945
Tb: 0.809 0.676 0.339
Tb: 0.319 0.539 0.307
Tb: 0.691 0.176 0.339
Tb: 0.309 0.824 0.661
Tb: 0.191 0.324 0.661
Tb: 0.681 0.461 0.693
Tb: 0.181 0.039 0.307
Tb: 0.819 0.961 0.693
Tb: 0.999 0.308 0.055
Tb: 0.501 0.808 0.055
Co: 0.999 0.620 0.601
Co: 0.501 0.120 0.601
Co: 0.001 0.380 0.399
Co: 0.499 0.880 0.399
Rh: 0.184 0.000 0.950
Rh: 0.316 0.500 0.950
Rh: 0.816 0.000 0.050
Rh: 0.684 0.500 0.050

---

A relaxed structure of Tb8Co2Rh. Source: the Alexandria database, functional PBE-GGA.

a = 6.020 Å, b = 7.388 Å, c = 7.388 Å
α = 113.64°, β = 99.94°, γ = 99.94°
Sites, in units of the cell vectors:
Tb: 0.988 0.788 0.217
Tb: 0.583 0.346 0.081
Tb: 0.386 0.663 0.926
Tb: 0.583 0.081 0.346
Tb: 0.174 0.363 0.363
Tb: 0.386 0.926 0.663
Tb: 0.988 0.217 0.788
Tb: 0.803 0.640 0.640
Co: 0.488 0.313 0.696
Co: 0.488 0.696 0.313
Rh: 0.133 0.000 0.000

---

A relaxed structure of Tb6Co2Rh. Source: the Alexandria database, functional PBE-GGA.

Values from the calculation:
* offset from the most stable computed form: 0 meV/atom

a = 8.197 Å, b = 8.197 Å, c = 8.197 Å
α = 108.50°, β = 110.56°, γ = 109.36°
Sites, in units of the cell vectors:
Co: 0.500 0.614 0.114
Co: 0.333 0.000 0.333
Co: 0.500 0.386 0.886
Co: 0.667 0.000 0.667
Tb: 0.089 0.266 0.822
Tb: 0.911 0.734 0.178
Tb: 0.186 0.253 0.439
Tb: 0.684 0.358 0.674
Tb: 0.814 0.747 0.561
Tb: 0.814 0.253 0.068
Tb: 0.684 0.010 0.326
Tb: 0.316 0.642 0.326
Tb: 0.556 0.734 0.822
Tb: 0.444 0.266 0.178
Tb: 0.186 0.747 0.932
Tb: 0.316 0.990 0.674
Rh: 0.000 0.500 0.500
Rh: 0.000 0.000 0.000

---

A relaxed structure of Tb6CoRh2. Source: the Alexandria database, functional PBE-GGA.

a = 6.484 Å, b = 7.324 Å, c = 9.652 Å
α = 90.00°, β = 91.10°, γ = 90.00°
Sites, in units of the cell vectors:
Tb: 0.836 0.673 0.070
Tb: 0.648 0.458 0.748
Tb: 0.148 0.042 0.248
Tb: 0.330 0.820 0.934
Tb: 0.170 0.320 0.566
Tb: 0.164 0.327 0.930
Tb: 0.336 0.827 0.570
Tb: 0.670 0.180 0.066
Tb: 0.852 0.958 0.752
Tb: 0.830 0.680 0.434
Tb: 0.352 0.542 0.252
Tb: 0.664 0.173 0.430
Rh: 0.049 0.617 0.738
Rh: 0.549 0.883 0.238
Rh: 0.451 0.117 0.762
Rh: 0.951 0.383 0.262
Co: 0.000 0.000 0.500
Co: 0.500 0.500 0.000

---

A relaxed structure of Tb2CoRh. Source: the Alexandria database, functional PBE-GGA.

a = 3.988 Å, b = 5.644 Å, c = 7.862 Å
α = 110.43°, β = 90.00°, γ = 90.00°
Sites, in units of the cell vectors:
Rh: 0.750 0.645 0.286
Rh: 0.250 0.355 0.714
Tb: 0.250 0.788 0.576
Tb: 0.250 0.790 0.068
Tb: 0.750 0.210 0.932
Tb: 0.750 0.212 0.424
Co: 0.750 0.647 0.787
Co: 0.250 0.353 0.213

---

A relaxed structure of TbCo4Rh. Source: the Alexandria database, functional PBE-GGA.

a = 4.910 Å, b = 4.910 Å, c = 4.910 Å
α = 60.00°, β = 60.00°, γ = 60.00°
Site moments in Bohr magnetons follow the coordinates.
Sites, in units of the cell vectors:
Co: 0.625 0.124 0.625  1.66
Co: 0.124 0.625 0.625  1.66
Co: 0.625 0.625 0.625  1.66
Co: 0.625 0.625 0.124  1.66
Tb: 0.250 0.250 0.250  -0.29
Rh: 0.000 0.000 0.000  0.74

---

| no. | energy of formation (kJ/mol of formula units) |
| --- | --- |
| 1 | -182 |
| 2 | -178 |
| 3 | -269 |
| 4 | -406 |
| 5 | -184 |
| 6 | -65 |